Record 1
PBE GaSiAu, optimized geometry; space group = P1, No. 1; energy = -0.1431 hartree per atom
1.0
3.762 0.000 0.000
-1.064 3.771 0.000
-0.813 -1.329 8.033
Ga Si Au
2 2 2
Direct
0.000 0.000 0.000 Ga
0.198 0.720 0.661 Ga
0.513 0.303 0.460 Si
0.880 0.910 0.397 Si
0.633 0.457 0.149 Au
0.637 0.353 0.799 Au

=====

Record 2
PBE GaSiAu, optimized geometry; space group = P2_1/m, No. 11; energy = -0.1438 hartree per atom
1.0
5.585 0.000 0.000
0.000 3.718 0.000
-2.757 0.000 5.665
Ga Si Au
2 2 2
Direct
0.199 0.250 0.013 Ga
0.801 0.750 0.987 Ga
0.445 0.750 0.583 Si
0.555 0.250 0.417 Si
0.067 0.750 0.694 Au
0.933 0.250 0.306 Au

=====

Record 3
PBE GaSiAu, optimized geometry; space group = P1, No. 1; energy = -0.1443 hartree per atom
1.0
3.863 0.000 0.000
-0.145 5.062 0.000
-1.784 -1.113 5.911
Ga Si Au
2 2 2
Direct
0.000 0.000 0.000 Ga
0.265 0.078 0.662 Ga
0.444 0.643 0.341 Si
0.840 0.482 0.124 Si
0.611 0.571 0.736 Au
0.626 0.119 0.340 Au

=====

Record 4
PBE GaSiAu, optimized geometry; space group = Pnma, No. 62; energy = -0.1440 hartree per atom
1.0
5.683 0.000 0.000
0.000 3.928 0.000
0.000 0.000 10.832
Ga Si Au
4 4 4
Direct
0.120 0.250 0.153 Ga
0.380 0.750 0.653 Ga
0.620 0.250 0.347 Ga
0.880 0.750 0.847 Ga
0.109 0.750 0.476 Si
0.391 0.250 0.976 Si
0.609 0.750 0.024 Si
0.891 0.250 0.524 Si
0.158 0.250 0.788 Au
0.342 0.750 0.288 Au
0.658 0.250 0.712 Au
0.842 0.750 0.212 Au

=====

Record 5
PBE GaSi2Au2, optimized geometry; energy above the lowest structure with this stoichiometry = 0.0000 eV per atom; space group = I4/mmm, No. 139
1.0
-1.950 1.950 6.165
1.950 -1.950 6.165
1.950 1.950 -6.165
Ga Si Au
1 2 2
Direct
0.000 0.000 0.000 Ga
0.250 0.750 0.500 Si
0.750 0.250 0.500 Si
0.388 0.388 0.000 Au
0.612 0.612 0.000 Au

=====

Record 6
PBE GaSiAu, optimized geometry; space group = P1, No. 1; energy = -0.1428 hartree per atom
1.0
4.301 0.000 0.000
-0.403 4.835 0.000
-2.098 -1.889 5.347
Ga Si Au
2 2 2
Direct
0.000 0.000 0.000 Ga
0.193 0.996 0.628 Ga
0.299 0.483 0.467 Si
0.396 0.625 0.133 Si
0.710 0.169 0.325 Au
0.729 0.438 0.860 Au

=====

Record 7
PBE GaSiAu, optimized geometry; space group = Aem2, No. 39; energy = -0.1435 hartree per atom
1.0
6.713 0.000 0.000
0.000 2.445 3.338
0.000 -2.445 3.338
Ga Si Au
2 2 2
Direct
0.112 0.250 0.750 Ga
0.888 0.750 0.250 Ga
0.377 0.972 0.472 Si
0.623 0.472 0.972 Si
0.269 0.611 0.111 Au
0.731 0.111 0.611 Au

=====

Record 8
PBE GaSiAu, optimized geometry; space group = P1, No. 1; energy = -0.1437 hartree per atom
1.0
3.715 0.000 0.000
-1.824 3.875 0.000
-0.127 -1.790 7.952
Ga Si Au
2 2 2
Direct
0.000 0.000 0.000 Ga
0.425 0.846 0.357 Ga
0.334 0.663 0.678 Si
0.734 0.468 0.499 Si
0.646 0.299 0.819 Au
0.735 0.468 0.176 Au

=====

Record 9
PBE GaSiAu, optimized geometry; space group = Pnma, No. 62; energy = -0.1431 hartree per atom
1.0
8.115 0.000 0.000
0.000 4.079 0.000
0.000 0.000 6.739
Ga Si Au
4 4 4
Direct
0.001 0.250 0.212 Ga
0.499 0.750 0.712 Ga
0.501 0.250 0.288 Ga
0.999 0.750 0.788 Ga
0.207 0.750 0.057 Si
0.293 0.250 0.557 Si
0.707 0.750 0.443 Si
0.793 0.250 0.943 Si
0.143 0.750 0.424 Au
0.357 0.250 0.924 Au
0.643 0.750 0.076 Au
0.857 0.250 0.576 Au

=====

Record 10
PBE GaSiAu, optimized geometry; space group = P-1, No. 2; energy = -0.1452 hartree per atom
1.0
4.299 0.000 0.000
1.017 4.239 0.000
1.266 1.086 6.409
Ga Si Au
2 2 2
Direct
0.237 0.230 0.497 Ga
0.763 0.770 0.503 Ga
0.251 0.367 0.059 Si
0.749 0.633 0.941 Si
0.318 0.796 0.249 Au
0.682 0.204 0.751 Au

=====

Record 11
PBE GaSi2Au2, optimized geometry; energy above the lowest structure with this stoichiometry = 0.0676 eV per atom; space group = P4/mbm, No. 127
1.0
8.136 0.000 0.000
0.000 8.136 0.000
0.000 0.000 2.765
Ga Si Au
2 4 4
Direct
0.000 0.000 0.000 Ga
0.500 0.500 0.000 Ga
0.138 0.362 0.000 Si
0.362 0.862 0.000 Si
0.638 0.138 0.000 Si
0.862 0.638 0.000 Si
0.159 0.659 0.500 Au
0.341 0.159 0.500 Au
0.659 0.841 0.500 Au
0.841 0.341 0.500 Au

=====

Record 12
PBE GaSi2Au2, optimized geometry; energy above the lowest structure with this stoichiometry = 0.0447 eV per atom; space group = P4/mbm, No. 127
1.0
8.117 0.000 0.000
0.000 8.117 0.000
0.000 0.000 2.774
Ga Si Au
2 4 4
Direct
0.000 0.000 0.000 Ga
0.500 0.500 0.000 Ga
0.135 0.365 0.500 Si
0.365 0.865 0.500 Si
0.635 0.135 0.500 Si
0.865 0.635 0.500 Si
0.163 0.663 0.000 Au
0.337 0.163 0.000 Au
0.663 0.837 0.000 Au
0.837 0.337 0.000 Au

=====

Record 13
PBE GaSiAu2, optimized geometry; energy above the lowest structure with this stoichiometry = 0.1825 eV per atom; space group = Fm-3m, No. 225
1.0
0.000 3.281 3.281
3.281 0.000 3.281
3.281 3.281 0.000
Ga Si Au
1 1 2
Direct
0.000 0.000 0.000 Ga
0.500 0.500 0.500 Si
0.250 0.250 0.250 Au
0.750 0.750 0.750 Au

=====

Record 14
PBE Ga12Si5Au3, optimized geometry; space group = Ia-3d, No. 230; energy = -0.1337 hartree per atom
1.0
-7.411 7.411 7.411
7.411 -7.411 7.411
7.411 7.411 -7.411
Ga Si Au
48 20 12
Direct
0.056 0.228 0.127 Ga
0.056 0.328 0.929 Ga
0.071 0.627 0.399 Ga
0.071 0.944 0.672 Ga
0.101 0.728 0.672 Ga
0.101 0.873 0.429 Ga
0.127 0.056 0.228 Ga
0.127 0.571 0.899 Ga
0.172 0.228 0.601 Ga
0.172 0.444 0.571 Ga
0.228 0.127 0.056 Ga
0.228 0.601 0.172 Ga
0.272 0.328 0.899 Ga
0.272 0.444 0.373 Ga
0.328 0.899 0.272 Ga
0.328 0.929 0.056 Ga
0.373 0.272 0.444 Ga
0.373 0.601 0.929 Ga
0.399 0.071 0.627 Ga
0.399 0.828 0.772 Ga
0.429 0.101 0.873 Ga
0.429 0.828 0.556 Ga
0.444 0.373 0.272 Ga
0.444 0.571 0.172 Ga
0.556 0.429 0.828 Ga
0.556 0.627 0.728 Ga
0.571 0.172 0.444 Ga
0.571 0.899 0.127 Ga
0.601 0.172 0.228 Ga
0.601 0.929 0.373 Ga
0.627 0.399 0.071 Ga
0.627 0.728 0.556 Ga
0.672 0.071 0.944 Ga
0.672 0.101 0.728 Ga
0.728 0.556 0.627 Ga
0.728 0.672 0.101 Ga
0.772 0.399 0.828 Ga
0.772 0.873 0.944 Ga
0.828 0.556 0.429 Ga
0.828 0.772 0.399 Ga
0.873 0.429 0.101 Ga
0.873 0.944 0.772 Ga
0.899 0.127 0.571 Ga
0.899 0.272 0.328 Ga
0.929 0.056 0.328 Ga
0.929 0.373 0.601 Ga
0.944 0.672 0.071 Ga
0.944 0.772 0.873 Ga
0.000 0.000 0.000 Si
0.000 0.000 0.500 Si
0.000 0.500 0.000 Si
0.000 0.500 0.500 Si
0.125 0.750 0.875 Si
0.125 0.875 0.250 Si
0.250 0.125 0.875 Si
0.250 0.625 0.375 Si
0.375 0.250 0.625 Si
0.375 0.625 0.750 Si
0.500 0.000 0.000 Si
0.500 0.000 0.500 Si
0.500 0.500 0.000 Si
0.500 0.500 0.500 Si
0.625 0.375 0.250 Si
0.625 0.750 0.375 Si
0.750 0.375 0.625 Si
0.750 0.875 0.125 Si
0.875 0.125 0.750 Si
0.875 0.250 0.125 Si
0.125 0.250 0.375 Au
0.125 0.375 0.750 Au
0.250 0.375 0.125 Au
0.250 0.875 0.625 Au
0.375 0.125 0.250 Au
0.375 0.750 0.125 Au
0.625 0.250 0.875 Au
0.625 0.875 0.750 Au
0.750 0.125 0.375 Au
0.750 0.625 0.875 Au
0.875 0.625 0.250 Au
0.875 0.750 0.625 Au

=====

Record 15
PBE GaSiAu, optimized geometry; space group = Pm, No. 6; energy = -0.1434 hartree per atom
1.0
4.186 0.000 0.000
0.000 4.712 0.000
-0.018 0.000 5.767
Ga Si Au
2 2 2
Direct
0.000 0.000 0.000 Ga
0.495 0.500 0.526 Ga
0.995 0.500 0.266 Si
0.998 0.000 0.459 Si
0.494 0.500 0.017 Au
0.500 0.000 0.713 Au

=====

Record 16
PBE GaSiAu6, optimized geometry; space group = P-1, No. 2; energy = -0.1287 hartree per atom
1.0
5.432 0.000 0.000
1.709 5.417 0.000
1.882 2.200 5.109
Ga Si Au
1 1 6
Direct
0.000 0.000 0.000 Ga
0.500 0.500 0.500 Si
0.012 0.743 0.500 Au
0.264 0.525 0.944 Au
0.495 0.014 0.743 Au
0.505 0.986 0.257 Au
0.736 0.475 0.056 Au
0.988 0.257 0.500 Au

=====

Record 17
PBE GaSiAu, optimized geometry; space group = P1, No. 1; energy = -0.1424 hartree per atom
1.0
4.190 0.000 0.000
0.011 4.984 0.000
1.736 1.420 5.851
Ga Si Au
2 2 2
Direct
0.000 0.000 0.000 Ga
0.429 0.582 0.084 Ga
0.125 0.327 0.506 Si
0.172 0.836 0.410 Si
0.026 0.543 0.835 Au
0.665 0.105 0.415 Au

=====

Record 18
PBE GaSiAu, optimized geometry; space group = P-1, No. 2; energy = -0.1431 hartree per atom
1.0
3.870 0.000 0.000
0.351 4.901 0.000
1.544 0.037 5.975
Ga Si Au
2 2 2
Direct
0.151 0.229 0.453 Ga
0.849 0.771 0.547 Ga
0.299 0.004 0.883 Si
0.701 0.996 0.117 Si
0.294 0.503 0.788 Au
0.706 0.497 0.212 Au

=====

Record 19
PBE GaSiAu, optimized geometry; space group = P4/nmm, No. 129; energy = -0.1379 hartree per atom
1.0
3.749 0.000 0.000
0.000 3.749 0.000
0.000 0.000 7.818
Ga Si Au
2 2 2
Direct
0.250 0.750 0.000 Ga
0.750 0.250 0.000 Ga
0.250 0.250 0.359 Si
0.750 0.750 0.641 Si
0.250 0.250 0.682 Au
0.750 0.750 0.318 Au

=====

Record 20
PBE GaSiAu, optimized geometry; space group = P-1, No. 2; energy = -0.1422 hartree per atom
1.0
3.093 0.000 0.000
1.524 5.664 0.000
1.492 1.475 6.146
Ga Si Au
2 2 2
Direct
0.237 0.308 0.214 Ga
0.763 0.692 0.786 Ga
0.051 0.793 0.102 Si
0.949 0.207 0.898 Si
0.401 0.781 0.423 Au
0.599 0.219 0.577 Au

=====

Number 1: spin magnetization 0.0 Bohr magnetons per cell, mass density 8589 kg/m3. Number 2: spin magnetization 0.0 Bohr magnetons per cell, mass density 8322 kg/m3. Number 3: spin magnetization 0.0 Bohr magnetons per cell, mass density 8468 kg/m3. Number 4: spin magnetization 0.0 Bohr magnetons per cell, mass density 8098 kg/m3. Number 5: spin magnetization 0.0 Bohr magnetons per cell, mass density 9207 kg/m3. Number 6: spin magnetization 0.0 Bohr magnetons per cell, mass density 8804 kg/m3. Number 7: spin magnetization 0.0 Bohr magnetons per cell, mass density 8934 kg/m3. Number 8: spin magnetization 0.0 Bohr magnetons per cell, mass density 8551 kg/m3. Number 9: spin magnetization 0.0 Bohr magnetons per cell, mass density 8776 kg/m3. Number 10: spin magnetization 0.0 Bohr magnetons per cell, mass density 8382 kg/m3. Number 11: spin magnetization 0.0 Bohr magnetons per cell, mass density 9434 kg/m3. Number 12: spin magnetization 0.0 Bohr magnetons per cell, mass density 9447 kg/m3. Number 13: spin magnetization 0.0 Bohr magnetons per cell, mass density 11556 kg/m3. Number 14: spin magnetization 0.0 Bohr magnetons per cell, mass density 6396 kg/m3. Number 15: spin magnetization 0.0 Bohr magnetons per cell, mass density 8607 kg/m3. Number 16: spin magnetization 0.0 Bohr magnetons per cell, mass density 14134 kg/m3. Number 17: spin magnetization 0.0 Bohr magnetons per cell, mass density 8012 kg/m3. Number 18: spin magnetization 0.0 Bohr magnetons per cell, mass density 8638 kg/m3. Number 19: spin magnetization 0.0 Bohr magnetons per cell, mass density 8910 kg/m3. Number 20: spin magnetization 0.0 Bohr magnetons per cell, mass density 9093 kg/m3.